1.
Below is an optimized crystal structure of Zn2Ga7Tc2, with properties calculated at the PBE-GGA level.

Cell lengths 5.6812, 5.6812, 6.5492 Å; angles 90.00, 90.00, 91.67 degrees
With the nearest neighbours (Å) after each atom.
Element x y z (fractional)
Zn  0.1609  0.8391  0.0000  1 Zn 2.62, 4 Ga 2.80
Zn  0.8391  0.1609  0.0000  1 Zn 2.62, 4 Ga 2.80
Ga  0.0000  0.0000  0.5000  2 Tc 2.48
Ga  0.0000  0.5000  0.2814  2 Tc 2.54, 2 Zn 2.80
Ga  0.0000  0.5000  0.7186  2 Tc 2.54, 2 Zn 2.80
Ga  0.5000  0.0000  0.2814  2 Tc 2.54, 2 Zn 2.80
Ga  0.5000  0.0000  0.7186  2 Tc 2.54, 2 Zn 2.80
Ga  0.5000  0.5000  0.1855  1 Ga 2.43, 2 Tc 2.54
Ga  0.5000  0.5000  0.8145  1 Ga 2.43, 2 Tc 2.54
Tc  0.3127  0.3127  0.5000  7 Ga 2.48-2.54
Tc  0.6873  0.6873  0.5000  7 Ga 2.48-2.54

Values from the calculation:
Its space group is No. 65. As for the energy of formation from the pure elements: 0.069 eV per atom.

2.
Below is an optimized crystal structure of AcPmYHo2, with properties calculated at the PBE-GGA level.

Cell lengths 9.3525, 9.3525, 6.4801 Å; angles 90.00, 90.00, 139.41 degrees
With the nearest neighbours (Å) after each atom.
Element x y z (fractional)
Ac  0.1587  0.8413  0.7500  1 Pm 3.32, 4 Ho 3.61, 4 Y 3.61-3.62
Ac  0.8413  0.1587  0.2500  1 Pm 3.32, 4 Ho 3.61, 4 Y 3.61-3.62
Pm  0.3481  0.6519  0.7500  1 Ac 3.32, 4 Ho 3.51, 4 Y 3.67-3.68
Pm  0.6519  0.3481  0.2500  1 Ac 3.32, 4 Ho 3.51, 4 Y 3.67-3.68
Y  0.2504  0.7496  0.2500  4 Ac 3.61-3.62, 4 Pm 3.67-3.68
Y  0.7496  0.2504  0.7500  4 Ac 3.61-3.62, 4 Pm 3.67-3.68
Ho  0.2518  0.2518  0.0000  4 Ho 3.22-3.27, 2 Pm 3.51
Ho  0.2518  0.2518  0.5000  4 Ho 3.22-3.27, 2 Pm 3.51
Ho  0.7482  0.7482  0.0000  4 Ho 3.22-3.27, 2 Pm 3.51
Ho  0.7482  0.7482  0.5000  4 Ho 3.22-3.27, 2 Pm 3.51

Values from the calculation:
Its space group is No. 63. As for the energy of formation from the pure elements: 0.378 eV per atom.